# OsPbBr

A relaxed OsPbBr crystal (GGA-PBE, the Alexandria database).

Unit cell a=3.3148 b=3.3148 c=7.7074 alpha=90.00 beta=90.00 gamma=120.00
Space group P3m1 (No. 156)
Asymmetric unit:
Os 0.0000 0.0000 0.0000 x1
Pb 0.6667 0.3333 0.2857 x1
Br 0.3333 0.6667 0.7643 x1

Computed properties:
Energy above the lowest structure with this stoichiometry (meV per atom): 0.0
E_form (uncorrected) (meV per atom): 861

# CaGa2Os

A relaxed CaGa2Os crystal (GGA-PBE, the Alexandria database).

Unit cell a=4.2564 b=4.2564 c=15.5756 alpha=90.00 beta=90.00 gamma=120.00
Space group R-3m (No. 166, hexagonal axes)
Asymmetric unit:
Ca 0.0000 0.0000 0.0000 x3
Ga 0.0000 0.0000 0.2103 x6
Os 0.0000 0.0000 0.5000 x3

Computed properties:
Calculated formation energy (eV per atom): -0.20

# La4Tc3

A relaxed La4Tc3 crystal (GGA-PBE, the Alexandria database).

Unit cell a=3.713 b=3.713 c=28.171 alpha=90.00 beta=90.00 gamma=90.00
Space group I4/mmm (No. 139)
Asymmetric unit:
La 0.000 0.000 0.059 x4
La 0.000 0.000 0.323 x4
Tc 0.000 0.000 0.237 x4
Tc 0.000 0.000 0.500 x2

Computed properties:
Energy above the lowest structure with this stoichiometry (meV per atom): 0.0
Calculated formation energy (eV per atom): 0.19

Record order is preserved below.
Theoretical density: 10.8, 7.5, 7.3 g/cm3
Record order is preserved below.
Magnetic moment: 1.01, 0.00, 0.00 Bohr magnetons per cell